No. 1
Computed, not measured: crystalline TlHgN2 at its relaxed geometry at the PBE level of DFT.

Cell and atoms, written as POSCAR:
```
TlHgN2
1.0
0.000 3.108 3.108
3.108 0.000 3.108
3.108 3.108 0.000
N Hg Tl
2 1 1
Direct
0.250 0.250 0.250 N
0.750 0.750 0.750 N
0.000 0.000 0.000 Hg
0.500 0.500 0.500 Tl
```

Values from the calculation:
**DOS at the Fermi energy**: 2.765 states/eV/cell
**Raw total energy**: -2.92 eV per atom
**ΔE to the lowest computed polymorph**: 1.784 eV/atom
**Symmetry**: No. 225
**ΔE_f (raw)**: 1909 meV per atom

=====

No. 2
Computed, not measured: crystalline TlHgN2 at its relaxed geometry at the PBE level of DFT.

Cell and atoms, written as POSCAR:
```
TlHgN2
1.0
-0.720 3.202 5.851
0.042 -0.199 6.706
2.680 2.057 5.796
Tl Hg N
1 1 2
Direct
0.500 0.500 0.500 Tl
0.000 0.000 0.000 Hg
0.893 0.893 0.893 N
0.107 0.107 0.107 N
```

Values from the calculation:
**DOS at the Fermi energy**: 2.335 states/eV/cell
**Raw total energy**: -3.64 eV per atom
**ΔE to the lowest computed polymorph**: 1.069 eV/atom
**Symmetry**: No. 166
**ΔE_f (raw)**: 1194 meV per atom

=====

No. 3
Computed, not measured: crystalline TlHgN2 at its relaxed geometry at the PBE level of DFT.

Cell and atoms, written as POSCAR:
```
TlHgN2
1.0
-1.490 3.908 3.202
-0.171 -3.376 4.040
4.161 1.293 4.690
Hg Tl N
2 2 4
Direct
0.500 0.500 0.000 Hg
0.250 0.750 0.500 Hg
0.000 0.000 0.000 Tl
0.750 0.250 0.500 Tl
0.626 0.125 0.250 N
0.124 0.625 0.250 N
0.875 0.876 0.750 N
0.375 0.374 0.750 N
```

Values from the calculation:
**DOS at the Fermi energy**: 7.997 states/eV/cell
**Raw total energy**: -3.57 eV per atom
**ΔE to the lowest computed polymorph**: 1.132 eV/atom
**Symmetry**: No. 122
**ΔE_f (raw)**: 1257 meV per atom

=====

No. 4
Computed, not measured: crystalline Tl2HgN at its relaxed geometry at the PBE level of DFT.

Cell and atoms, written as POSCAR:
```
Tl2HgN
1.0
-3.779 -1.839 5.362
2.168 -6.423 -0.675
2.751 -3.227 5.160
Tl Hg N
4 2 2
Direct
0.211 0.625 0.250 Tl
0.875 0.789 0.750 Tl
0.375 0.461 0.750 Tl
0.539 0.125 0.250 Tl
0.000 0.000 0.000 Hg
0.750 0.250 0.500 Hg
0.250 0.750 0.500 N
0.500 0.500 0.000 N
```

Values from the calculation:
**DOS at the Fermi energy**: 2.755 states/eV/cell
**Raw total energy**: -2.77 eV per atom
**ΔE to the lowest computed polymorph**: 0.038 eV/atom
**Symmetry**: No. 122
**ΔE_f (raw)**: 575 meV per atom

=====

No. 5
Computed, not measured: crystalline Tl2HgN at its relaxed geometry at the PBE level of DFT.

Cell and atoms, written as POSCAR:
```
Tl2HgN
1.0
3.705 0.000 0.000
0.001 5.364 -3.520
0.000 -4.519 12.448
Tl N Hg
4 2 2
Direct
0.778 0.460 0.224 Tl
0.278 0.726 0.880 Tl
0.278 0.960 0.224 Tl
0.778 0.226 0.880 Tl
0.278 0.343 0.051 N
0.778 0.843 0.052 N
0.778 0.343 0.552 Hg
0.278 0.843 0.551 Hg
```

Values from the calculation:
**DOS at the Fermi energy**: 3.341 states/eV/cell
**Raw total energy**: -2.80 eV per atom
**ΔE to the lowest computed polymorph**: 0.000 eV/atom
**Symmetry**: No. 12
**ΔE_f (raw)**: 537 meV per atom

=====

No. 6
Computed, not measured: crystalline TlHgN2 at its relaxed geometry at the PBE level of DFT.

Cell and atoms, written as POSCAR:
```
TlHgN2
1.0
4.914 -4.218 1.329
6.358 -0.833 1.609
4.396 -2.239 4.401
Hg N Tl
1 2 1
Direct
0.500 0.500 0.500 Hg
0.111 0.111 0.111 N
0.889 0.889 0.889 N
0.000 0.000 0.000 Tl
```

Values from the calculation:
**DOS at the Fermi energy**: 2.329 states/eV/cell
**Raw total energy**: -3.34 eV per atom
**ΔE to the lowest computed polymorph**: 1.366 eV/atom
**Symmetry**: No. 166
**ΔE_f (raw)**: 1492 meV per atom

=====

No. 7
Computed, not measured: crystalline Tl2Hg3N2 at its relaxed geometry at the PBE level of DFT.

Cell and atoms, written as POSCAR:
```
Tl2Hg3N2
1.0
2.366 -1.171 2.175
-7.295 22.472 -10.107
6.242 -6.201 11.627
N Tl Hg
2 2 3
Direct
0.406 0.477 0.866 N
0.594 0.523 0.134 N
0.533 0.224 0.396 Tl
0.467 0.776 0.604 Tl
0.251 0.114 0.704 Hg
0.000 0.000 0.000 Hg
0.749 0.886 0.296 Hg
```

Values from the calculation:
**DOS at the Fermi energy**: 1.802 states/eV/cell
**Raw total energy**: -3.13 eV per atom
**Symmetry**: No. 2
**ΔE_f (raw)**: 51 meV per atom

=====

No. 8
Computed, not measured: crystalline TlHgN2 at its relaxed geometry at the PBE level of DFT.

Cell and atoms, written as POSCAR:
```
TlHgN2
1.0
-4.280 -1.134 4.397
-5.073 -0.124 1.249
0.447 -10.740 3.993
N Tl Hg
2 1 1
Direct
0.783 0.427 0.714 N
0.925 0.117 0.646 N
0.337 0.856 0.145 Tl
0.654 0.026 0.234 Hg
```

Values from the calculation:
**DOS at the Fermi energy**: 1.040 states/eV/cell
**Raw total energy**: -4.70 eV per atom
**ΔE to the lowest computed polymorph**: 0.000 eV/atom
**Symmetry**: No. 1
**ΔE_f (raw)**: 125 meV per atom

=====

No. 9
Computed, not measured: crystalline Tl4Hg2N3 at its relaxed geometry at the PBE level of DFT.

Cell and atoms, written as POSCAR:
```
Tl4Hg2N3
1.0
6.597 1.731 1.497
2.289 7.832 8.901
1.894 4.184 13.837
N Tl Hg
6 8 4
Direct
0.608 0.998 0.748 N
0.215 0.606 0.459 N
0.235 0.654 0.946 N
0.785 0.394 0.541 N
0.392 0.002 0.252 N
0.765 0.346 0.054 N
0.062 0.164 0.776 Tl
0.958 0.062 0.643 Tl
0.550 0.587 0.036 Tl
0.492 0.810 0.227 Tl
0.508 0.190 0.773 Tl
0.450 0.413 0.964 Tl
0.042 0.938 0.357 Tl
0.938 0.836 0.224 Tl
0.519 0.277 0.432 Hg
0.481 0.723 0.568 Hg
0.093 0.373 0.254 Hg
0.907 0.627 0.746 Hg
```

Values from the calculation:
**DOS at the Fermi energy**: 0.168 states/eV/cell
**Raw total energy**: -3.15 eV per atom
**Symmetry**: No. 2
**ΔE_f (raw)**: 747 meV per atom

=====

No. 10
Computed, not measured: crystalline Tm4TlHgN at its relaxed geometry at the PBE level of DFT.

Cell and atoms, written as POSCAR:
```
Tm4TlHgN
1.0
6.705 0.000 0.000
0.000 6.705 0.000
-3.352 0.000 7.410
N Tm Hg Tl
2 8 2 2
Direct
0.249 0.750 0.499 N
0.751 0.250 0.501 N
0.419 0.750 0.838 Tm
0.500 0.500 0.500 Tm
0.500 0.000 0.500 Tm
0.087 0.750 0.175 Tm
0.000 0.500 0.500 Tm
0.000 0.000 0.500 Tm
0.581 0.250 0.162 Tm
0.913 0.250 0.825 Tm
0.618 0.750 0.236 Hg
0.382 0.250 0.764 Hg
0.116 0.250 0.231 Tl
0.884 0.750 0.769 Tl
```

Values from the calculation:
**DOS at the Fermi energy**: 3.390 states/eV/cell
**Raw total energy**: -4.85 eV per atom
**Symmetry**: No. 63
**ΔE_f (raw)**: -725 meV per atom

=====

No. 11
Computed, not measured: crystalline Y4TlHgN at its relaxed geometry at the PBE level of DFT.

Cell and atoms, written as POSCAR:
```
Y4TlHgN
1.0
-2.622 -4.427 4.503
5.022 -4.421 -1.422
5.524 5.251 3.188
N Hg Tl Y
2 2 2 8
Direct
0.751 0.250 0.501 N
0.249 0.750 0.499 N
0.619 0.750 0.237 Hg
0.381 0.250 0.763 Hg
0.117 0.250 0.233 Tl
0.883 0.750 0.767 Tl
0.420 0.750 0.840 Y
0.086 0.750 0.172 Y
0.500 0.000 0.500 Y
0.000 0.000 0.500 Y
0.500 0.500 0.500 Y
0.914 0.250 0.828 Y
0.000 0.500 0.500 Y
0.580 0.250 0.160 Y
```

Values from the calculation:
**DOS at the Fermi energy**: 2.972 states/eV/cell
**Raw total energy**: -6.00 eV per atom
**Symmetry**: No. 63
**ΔE_f (raw)**: -732 meV per atom

=====

No. 12
Computed, not measured: crystalline YTlHgN2 at its relaxed geometry at the PBE level of DFT.

Cell and atoms, written as POSCAR:
```
YTlHgN2
1.0
4.406 0.000 0.000
0.000 5.720 0.000
0.000 0.000 4.406
N Y Hg Tl
2 1 1 1
Direct
0.500 0.000 0.000 N
0.000 0.000 0.500 N
0.000 0.500 0.000 Y
0.000 0.000 0.000 Hg
0.500 0.500 0.500 Tl
```

Values from the calculation:
**DOS at the Fermi energy**: 3.585 states/eV/cell
**Raw total energy**: -3.57 eV per atom
**Symmetry**: No. 123
**ΔE_f (raw)**: 1582 meV per atom

=====

No. 13
Computed, not measured: crystalline TlZnHgN2 at its relaxed geometry at the PBE level of DFT.

Cell and atoms, written as POSCAR:
```
TlZnHgN2
1.0
-3.839 -0.695 -1.376
0.720 -5.702 0.874
-1.454 0.407 3.851
Hg N Zn Tl
1 2 1 1
Direct
0.500 0.500 0.500 Hg
0.000 0.000 0.500 N
0.500 0.000 0.000 N
0.000 0.000 0.000 Zn
0.000 0.500 0.000 Tl
```

Values from the calculation:
**DOS at the Fermi energy**: 1.772 states/eV/cell
**Raw total energy**: -2.73 eV per atom
**Symmetry**: No. 123
**ΔE_f (raw)**: 1391 meV per atom

=====

No. 14
Computed, not measured: crystalline Tm4Hg2N at its relaxed geometry at the PBE level of DFT.

Cell and atoms, written as POSCAR:
```
Tm4Hg2N
1.0
4.712 0.000 0.000
0.000 4.712 0.000
2.356 2.356 7.344
Tm Hg N
4 2 1
Direct
0.000 0.500 0.000 Tm
0.169 0.169 0.662 Tm
0.500 0.000 0.000 Tm
0.831 0.831 0.338 Tm
0.368 0.368 0.264 Hg
0.632 0.632 0.736 Hg
0.000 0.000 0.000 N
```

Values from the calculation:
**DOS at the Fermi energy**: 6.386 states/eV/cell
**Raw total energy**: -4.58 eV per atom
**Symmetry**: No. 139
**ΔE_f (raw)**: -747 meV per atom

=====

No. 15
Computed, not measured: crystalline TmZr2HgN at its relaxed geometry at the PBE level of DFT.

Cell and atoms, written as POSCAR:
```
TmZr2HgN
1.0
-2.228 -0.345 -3.915
1.706 -4.139 -0.606
-3.677 -1.846 2.254
Zr N Tm Hg
2 1 1 1
Direct
0.500 0.000 0.000 Zr
0.000 0.500 0.000 Zr
0.000 0.000 0.000 N
0.000 0.000 0.500 Tm
0.500 0.500 0.500 Hg
```

Values from the calculation:
**DOS at the Fermi energy**: 2.358 states/eV/cell
**Raw total energy**: -6.91 eV per atom
**Symmetry**: No. 123
**ΔE_f (raw)**: -866 meV per atom

=====

No. 16
Computed, not measured: crystalline UHgN2 at its relaxed geometry at the PBE level of DFT.

Cell and atoms, written as POSCAR:
```
UHgN2
1.0
3.499 0.000 0.000
1.750 3.030 0.000
1.750 1.010 8.801
N Hg U
2 1 1
Direct
0.866 0.866 0.403 N
0.134 0.134 0.597 N
0.000 0.000 0.000 Hg
0.500 0.500 0.500 U
```

Values from the calculation:
**Raw total energy**: -7.84 eV per atom
**Symmetry**: No. 166
**ΔE_f (raw)**: -777 meV per atom

=====

No. 17
Computed, not measured: crystalline UHgN at its relaxed geometry at the PBE level of DFT.

Cell and atoms, written as POSCAR:
```
UHgN
1.0
3.074 0.000 0.000
0.000 3.442 0.000
-1.537 0.000 11.270
Hg N U
2 2 2
Direct
0.804 0.250 0.607 Hg
0.196 0.750 0.393 Hg
0.948 0.750 0.896 N
0.052 0.250 0.104 N
0.434 0.250 0.868 U
0.566 0.750 0.132 U
```

Values from the calculation:
**DOS at the Fermi energy**: 7.124 states/eV/cell
**Raw total energy**: -7.11 eV per atom
**Symmetry**: No. 63
**ΔE_f (raw)**: -470 meV per atom

=====

No. 18
Computed, not measured: crystalline V2HgN at its relaxed geometry at the PBE level of DFT.

Cell and atoms, written as POSCAR:
```
V2HgN
1.0
-1.789 -3.402 1.849
-2.057 0.426 3.712
-4.248 -0.365 0.139
V Hg N
2 1 1
Direct
0.250 0.250 0.250 V
0.750 0.750 0.750 V
0.500 0.500 0.500 Hg
0.000 0.000 0.000 N
```

Values from the calculation:
**DOS at the Fermi energy**: 5.737 states/eV/cell
**Raw total energy**: -5.62 eV per atom
**ΔE to the lowest computed polymorph**: 1.636 eV/atom
**Symmetry**: No. 225
**ΔE_f (raw)**: 1092 meV per atom

=====

No. 19
Computed, not measured: crystalline V2HgN at its relaxed geometry at the PBE level of DFT.

Cell and atoms, written as POSCAR:
```
V2HgN
1.0
5.147 0.000 0.000
0.000 5.147 0.000
2.573 2.573 5.129
V N Hg
4 2 2
Direct
0.375 0.532 0.750 V
0.282 0.625 0.250 V
0.875 0.718 0.750 V
0.468 0.125 0.250 V
0.500 0.500 0.000 N
0.250 0.750 0.500 N
0.000 0.000 0.000 Hg
0.750 0.250 0.500 Hg
```

Values from the calculation:
**DOS at the Fermi energy**: 9.240 states/eV/cell
**Raw total energy**: -6.65 eV per atom
**ΔE to the lowest computed polymorph**: 0.611 eV/atom
**Symmetry**: No. 122
**ΔE_f (raw)**: 67 meV per atom

=====

No. 20
Computed, not measured: crystalline V3HgN at its relaxed geometry at the PBE level of DFT.

Cell and atoms, written as POSCAR:
```
V3HgN
1.0
4.022 0.000 0.000
0.000 4.022 0.000
0.000 0.000 4.022
V N Hg
3 1 1
Direct
0.500 0.000 0.000 V
0.000 0.000 0.500 V
0.000 0.500 0.000 V
0.000 0.000 0.000 N
0.500 0.500 0.500 Hg
```

Values from the calculation:
**DOS at the Fermi energy**: 6.916 states/eV/cell
**Raw total energy**: -7.58 eV per atom
**Symmetry**: No. 221
**ΔE_f (raw)**: -386 meV per atom